No. 1
This record from the Alexandria database describes crystalline ZrRuPt2 at its relaxed geometry. The functional is PBE.

```
data_ZrRuPt2
_chemical_formula_sum 'Zr1 Ru1 Pt2'
_space_group_name_H-M_alt 'P m m 2'
_space_group_IT_number 25
_space_group_name_Hall 'P 2 -2'
_cell_length_a 2.9551
_cell_length_b 4.5359
_cell_length_c 4.9135
_cell_angle_alpha 90.00
_cell_angle_beta 90.00
_cell_angle_gamma 90.00
loop_
_atom_site_label
_atom_site_fract_x
_atom_site_fract_y
_atom_site_fract_z
_atom_site_occupancy
Zr1 0.0000 0.0000 0.0000 1
Ru1 0.0000 0.5000 0.3509 1
Pt1 0.5000 0.0000 0.4826 1
Pt2 0.5000 0.5000 0.8259 1
```

Values from the calculation:
calculated volume: 16.5 A^3/atom
DFT formation energy: -52 kJ per mole of atoms
density of states at the Fermi level: 4.24 states/eV/f.u.

No. 2
This record from the Alexandria database describes crystalline ZrRuPt2 at its relaxed geometry. The functional is PBE.

```
data_ZrRuPt2
_chemical_formula_sum 'Zr1 Ru1 Pt2'
_space_group_name_H-M_alt 'P 1 2/m 1'
_space_group_IT_number 10
_space_group_name_Hall '-P 2y'
_cell_length_a 2.8687
_cell_length_b 4.0408
_cell_length_c 5.6557
_cell_angle_alpha 90.00
_cell_angle_beta 90.07
_cell_angle_gamma 90.00
loop_
_atom_site_label
_atom_site_fract_x
_atom_site_fract_y
_atom_site_fract_z
_atom_site_occupancy
Zr1 0.0000 0.0000 0.0000 1
Ru1 0.0000 0.0000 0.5000 1
Pt1 0.5000 0.5000 0.2637 1
```

Values from the calculation:
calculated volume: 16.4 A^3/atom
DFT formation energy: -51 kJ per mole of atoms
density of states at the Fermi level: 4.18 states/eV/f.u.

No. 3
This record from the Alexandria database describes crystalline ZrRuPt2 at its relaxed geometry. The functional is PBE.

```
data_ZrRuPt2
_chemical_formula_sum 'Zr1 Ru1 Pt2'
_space_group_name_H-M_alt 'P m m 2'
_space_group_IT_number 25
_space_group_name_Hall 'P 2 -2'
_cell_length_a 3.0950
_cell_length_b 3.7314
_cell_length_c 5.7821
_cell_angle_alpha 90.00
_cell_angle_beta 90.00
_cell_angle_gamma 90.00
loop_
_atom_site_label
_atom_site_fract_x
_atom_site_fract_y
_atom_site_fract_z
_atom_site_occupancy
Zr1 0.0000 0.0000 0.0000 1
Ru1 0.5000 0.5000 0.7280 1
Pt1 0.0000 0.0000 0.5191 1
Pt2 0.5000 0.5000 0.2574 1
```

Values from the calculation:
calculated volume: 16.7 A^3/atom
DFT formation energy: -46 kJ per mole of atoms
density of states at the Fermi level: 4.01 states/eV/f.u.

No. 4
This record from the Alexandria database describes crystalline ZrRu3Pt at its relaxed geometry. The functional is PBE.

```
data_ZrRu3Pt
_chemical_formula_sum 'Zr1 Ru3 Pt1'
_space_group_name_H-M_alt 'P m -3 m'
_space_group_IT_number 221
_space_group_name_Hall '-P 4 2 3'
_cell_length_a 4.7112
_cell_length_b 4.7112
_cell_length_c 4.7112
_cell_angle_alpha 90.00
_cell_angle_beta 90.00
_cell_angle_gamma 90.00
loop_
_atom_site_label
_atom_site_fract_x
_atom_site_fract_y
_atom_site_fract_z
_atom_site_occupancy
Zr1 0.0000 0.0000 0.0000 1
Ru1 0.0000 0.0000 0.5000 1
Pt1 0.5000 0.5000 0.5000 1
```

Values from the calculation:
ΔE to the lowest computed polymorph: 337 meV per atom
calculated volume: 20.9 A^3/atom
DFT formation energy: 170 kJ per mole of atoms
density of states at the Fermi level: 5.42 states/eV/f.u.

No. 5
This record from the Alexandria database describes crystalline ZrRuPt2 at its relaxed geometry. The functional is PBE.

```
data_ZrRuPt2
_chemical_formula_sum 'Zr3 Ru3 Pt6'
_space_group_name_H-M_alt 'R -3 m'
_space_group_IT_number 166
_space_group_name_Hall '-R 3 2"'
_cell_length_a 2.8403
_cell_length_b 2.8403
_cell_length_c 28.1720
_cell_angle_alpha 90.00
_cell_angle_beta 90.00
_cell_angle_gamma 120.00
loop_
_atom_site_label
_atom_site_fract_x
_atom_site_fract_y
_atom_site_fract_z
_atom_site_occupancy
Zr1 0.0000 0.0000 0.0000 1
Ru1 0.0000 0.0000 0.5000 1
Pt1 0.0000 0.0000 0.2462 1
```

Values from the calculation:
calculated volume: 16.4 A^3/atom
DFT formation energy: -15 kJ per mole of atoms
density of states at the Fermi level: 3.75 states/eV/f.u.

No. 6
This record from the Alexandria database describes crystalline ZrRuPt at its relaxed geometry. The functional is PBE.

```
data_ZrRuPt
_chemical_formula_sum 'Zr4 Ru4 Pt4'
_space_group_name_H-M_alt 'C 1 2/m 1'
_space_group_IT_number 12
_space_group_name_Hall '-C 2y'
_cell_length_a 9.9937
_cell_length_b 3.0648
_cell_length_c 8.6399
_cell_angle_alpha 90.00
_cell_angle_beta 122.69
_cell_angle_gamma 90.00
loop_
_atom_site_label
_atom_site_fract_x
_atom_site_fract_y
_atom_site_fract_z
_atom_site_occupancy
Zr1 0.1758 0.0000 0.2181 1
Ru1 0.1312 0.0000 0.5078 1
Pt1 0.1259 0.0000 0.8559 1
```

Values from the calculation:
ΔE to the lowest computed polymorph: 191 meV per atom
calculated volume: 18.6 A^3/atom
DFT formation energy: -20 kJ per mole of atoms
density of states at the Fermi level: 2.30 states/eV/f.u.

No. 7
This record from the Alexandria database describes crystalline ZrRuPt2 at its relaxed geometry. The functional is PBE.

```
data_ZrRuPt2
_chemical_formula_sum 'Zr1 Ru1 Pt2'
_space_group_name_H-M_alt 'P 4 m m'
_space_group_IT_number 99
_space_group_name_Hall 'P 4 -2'
_cell_length_a 2.8588
_cell_length_b 2.8588
_cell_length_c 8.1116
_cell_angle_alpha 90.00
_cell_angle_beta 90.00
_cell_angle_gamma 90.00
loop_
_atom_site_label
_atom_site_fract_x
_atom_site_fract_y
_atom_site_fract_z
_atom_site_occupancy
Zr1 0.0000 0.0000 0.0000 1
Ru1 0.5000 0.5000 0.7389 1
Pt1 0.0000 0.0000 0.5128 1
Pt2 0.5000 0.5000 0.2559 1
```

Values from the calculation:
calculated volume: 16.6 A^3/atom
DFT formation energy: -26 kJ per mole of atoms
density of states at the Fermi level: 4.89 states/eV/f.u.

No. 8
This record from the Alexandria database describes crystalline ZrRu4Pt at its relaxed geometry. The functional is PBE.

```
data_ZrRu4Pt
_chemical_formula_sum 'Zr4 Ru16 Pt4'
_space_group_name_H-M_alt 'F -4 3 m'
_space_group_IT_number 216
_space_group_name_Hall 'F -4 2 3'
_cell_length_a 7.2616
_cell_length_b 7.2616
_cell_length_c 7.2616
_cell_angle_alpha 90.00
_cell_angle_beta 90.00
_cell_angle_gamma 90.00
loop_
_atom_site_label
_atom_site_fract_x
_atom_site_fract_y
_atom_site_fract_z
_atom_site_occupancy
Zr1 0.0000 0.0000 0.0000 1
Ru1 0.1234 0.1234 0.3766 1
Pt1 0.2500 0.2500 0.7500 1
```

Values from the calculation:
calculated volume: 16.0 A^3/atom
DFT formation energy: 0 kJ per mole of atoms
density of states at the Fermi level: 10.33 states/eV/f.u.

No. 9
This record from the Alexandria database describes crystalline Zr5Ru4Pt at its relaxed geometry. The functional is PBE.

```
data_Zr5Ru4Pt
_chemical_formula_sum 'Zr5 Ru4 Pt1'
_space_group_name_H-M_alt 'P 4/m m m'
_space_group_IT_number 123
_space_group_name_Hall '-P 4 2'
_cell_length_a 3.2463
_cell_length_b 3.2463
_cell_length_c 16.9561
_cell_angle_alpha 90.00
_cell_angle_beta 90.00
_cell_angle_gamma 90.00
loop_
_atom_site_label
_atom_site_fract_x
_atom_site_fract_y
_atom_site_fract_z
_atom_site_occupancy
Zr1 0.0000 0.0000 0.0000 1
Zr2 0.0000 0.0000 0.1959 1
Zr3 0.0000 0.0000 0.3928 1
Ru1 0.5000 0.5000 0.0977 1
Ru2 0.5000 0.5000 0.2937 1
Pt1 0.5000 0.5000 0.5000 1
```

Values from the calculation:
calculated volume: 17.9 A^3/atom
DFT formation energy: -66 kJ per mole of atoms
density of states at the Fermi level: 4.96 states/eV/f.u.

No. 10
This record from the Alexandria database describes crystalline ZrRu3Pt at its relaxed geometry. The functional is PBE.

```
data_ZrRu3Pt
_chemical_formula_sum 'Zr1 Ru3 Pt1'
_space_group_name_H-M_alt 'P m -3 m'
_space_group_IT_number 221
_space_group_name_Hall '-P 4 2 3'
_cell_length_a 4.7260
_cell_length_b 4.7260
_cell_length_c 4.7260
_cell_angle_alpha 90.00
_cell_angle_beta 90.00
_cell_angle_gamma 90.00
loop_
_atom_site_label
_atom_site_fract_x
_atom_site_fract_y
_atom_site_fract_z
_atom_site_occupancy
Zr1 0.0000 0.0000 0.0000 1
Ru1 0.0000 0.5000 0.5000 1
Pt1 0.5000 0.5000 0.5000 1
```

Values from the calculation:
ΔE to the lowest computed polymorph: 0 meV per atom
calculated volume: 21.1 A^3/atom
DFT formation energy: 138 kJ per mole of atoms
density of states at the Fermi level: 8.87 states/eV/f.u.

Number 1: total moment 0.0 μB/f.u.. Number 2: total moment 0.0 μB/f.u.. Number 3: total moment 0.0 μB/f.u.. Number 4: total moment 4.0 μB/f.u.. Number 5: total moment 0.0 μB/f.u.. Number 6: total moment 0.0 μB/f.u.. Number 7: total moment 0.0 μB/f.u.. Number 8: total moment 0.0 μB/f.u.. Number 9: total moment 0.0 μB/f.u.. Number 10: total moment 3.4 μB/f.u..